Record 1
## Cd3Ga13 (GGA-PBE)

Data for an optimized crystal structure of Cd3Ga13.

Geometry as extended XYZ:
```
16
Lattice="6.264 0.000 0.000 0.000 6.463 0.000 -0.069 0.000 7.794" Properties=species:S:1:pos:R:3 pbc="T T T"
Cd 0.000 0.000 0.000
Cd 1.808 1.619 1.857
Cd 1.808 4.844 1.857
Ga 0.047 0.000 3.742
Ga 0.072 3.231 7.613
Ga 0.210 3.231 3.925
Ga 1.621 1.505 5.735
Ga 1.621 4.957 5.735
Ga 3.166 3.231 4.020
Ga 3.174 3.231 7.479
Ga 3.248 0.000 7.604
Ga 3.337 0.000 3.917
Ga 4.837 1.773 1.954
Ga 4.837 4.690 1.954
Ga 4.843 1.649 5.677
Ga 4.843 4.813 5.677
```

Total magnetization = 0.00 μB/f.u.
Space-group type = Pm (6)
Calculated formation energy = 0.036 eV per atom

---

Record 2
## Re2HgMo (GGA-PBE)

Data for an optimized crystal structure of Re2HgMo.

Geometry as extended XYZ:
```
4
Lattice="-1.556 2.296 4.649 1.556 -2.296 4.649 1.556 2.296 -4.649" Properties=species:S:1:pos:R:3 pbc="T T T"
Re 0.000 0.000 0.000
Re 0.000 2.296 2.553
Hg 1.556 0.000 2.466
Mo 0.000 0.000 4.995
```

Total magnetization = 0.00 μB/f.u.
Space-group type = Imm2 (44)
Calculated formation energy = 0.662 eV per atom

---

Record 3
## Tl3GeH (GGA-PBE)

Data for an optimized crystal structure of Tl3GeH.

Geometry as extended XYZ:
```
5
Lattice="5.713 0.000 0.000 0.000 5.713 0.000 0.000 0.000 5.713" Properties=species:S:1:pos:R:3 pbc="T T T"
Tl 0.000 0.000 2.857
Tl 0.000 2.857 0.000
Tl 2.857 0.000 0.000
Ge 0.000 0.000 0.000
H 2.857 2.857 2.857
```

Total magnetization = 0.00 μB/f.u.
Space-group type = Pm-3m (221)
Polymorph energy (0 for the lowest one) = 328 meV per atom

---

Record 4
## Th2Al3Ge (GGA-PBE)

Data for an optimized crystal structure of Th2Al3Ge.

Geometry as extended XYZ:
```
6
Lattice="4.149 0.000 0.000 0.000 4.378 0.000 0.000 0.000 7.578" Properties=species:S:1:pos:R:3 pbc="T T T"
Th 0.000 0.000 0.000
Th 0.000 2.189 3.763
Al 2.074 0.000 5.036
Al 2.074 2.189 1.245
Al 2.074 2.189 6.291
Ge 2.074 0.000 2.513
```

Total magnetization = 0.00 μB/f.u.
Space-group type = Pmm2 (25)
Calculated formation energy = -0.500 eV per atom

---

Record 5
## Ca2InW (GGA-PBE)

Data for an optimized crystal structure of Ca2InW.

Geometry as extended XYZ:
```
4
Lattice="-2.309 2.309 4.524 2.309 -2.309 4.524 2.309 2.309 -4.524" Properties=species:S:1:pos:R:3 pbc="T T T"
Ca 0.000 0.000 0.000
Ca 0.000 2.309 2.262
In 2.309 0.000 2.262
W 0.000 0.000 4.524
```

Total magnetization = 0.94 μB/f.u.
Space-group type = I-4m2 (119)
Calculated formation energy = 0.631 eV per atom

---

Record 6
## LaSbI2O (GGA-PBE)

Data for an optimized crystal structure of LaSbI2O.

Geometry as extended XYZ:
```
5
Lattice="5.161 0.000 0.000 0.000 5.161 0.000 0.000 0.000 4.920" Properties=species:S:1:pos:R:3 pbc="T T T"
La 0.000 0.000 0.000
Sb 2.580 2.580 0.000
I 0.000 2.580 2.460
I 2.580 0.000 2.460
O 2.580 2.580 2.460
```

Total magnetization = 0.00 μB/f.u.
Space-group type = P4/mmm (123)
Polymorph energy (0 for the lowest one) = 543 meV per atom
Formation energy from raw total energies = -0.481 eV per atom

---

Record 7
## Ti3VOs4 (GGA-PBE)

Data for an optimized crystal structure of Ti3VOs4.

Geometry as extended XYZ:
```
8
Lattice="3.071 0.000 0.000 0.000 3.071 0.000 0.000 0.000 12.323" Properties=species:S:1:pos:R:3 pbc="T T T"
Ti 0.000 0.000 0.000
Ti 0.000 0.000 3.095
Ti 0.000 0.000 9.228
V 0.000 0.000 6.162
Os 1.536 1.536 1.555
Os 1.536 1.536 4.661
Os 1.536 1.536 7.662
Os 1.536 1.536 10.769
```

Total magnetization = 0.00 μB/f.u.
Space-group type = P4/mmm (123)
Calculated formation energy = -0.585 eV per atom

---

Record 8
## Ag2RuCl (GGA-PBE)

Data for an optimized crystal structure of Ag2RuCl.

Geometry as extended XYZ:
```
4
Lattice="2.913 0.000 0.000 0.000 3.008 0.000 -1.372 0.000 8.495" Properties=species:S:1:pos:R:3 pbc="T T T"
Ag 0.000 0.000 0.000
Ag 0.083 1.504 6.483
Ru 1.538 0.000 4.501
Cl 1.536 1.504 2.739
```

Total magnetization = 1.24 μB/f.u.
Space-group type = Pm (6)
Polymorph energy (0 for the lowest one) = 18 meV per atom
Formation energy from raw total energies = 0.333 eV per atom

---

Record 9
## TlCdHg2Ge (GGA-PBE)

Data for an optimized crystal structure of TlCdHg2Ge.

Geometry as extended XYZ:
```
5
Lattice="5.504 0.000 0.000 0.000 5.504 0.000 0.000 0.000 5.175" Properties=species:S:1:pos:R:3 pbc="T T T"
Tl 0.000 0.000 0.000
Cd 2.752 2.752 0.000
Hg 0.000 2.752 2.587
Hg 2.752 0.000 2.587
Ge 2.752 2.752 2.587
```

Total magnetization = 0.00 μB/f.u.
Space-group type = P4/mmm (123)
Calculated formation energy = 0.219 eV per atom
Polymorph energy (0 for the lowest one) = 0 meV per atom

---

Record 10
## Zn3NiB (GGA-PBE)

Data for an optimized crystal structure of Zn3NiB.

Geometry as extended XYZ:
```
5
Lattice="4.512 0.000 0.000 0.000 4.512 0.000 0.000 0.000 4.512" Properties=species:S:1:pos:R:3 pbc="T T T"
Zn 0.000 0.000 2.256
Zn 0.000 2.256 0.000
Zn 2.256 0.000 0.000
Ni 0.000 0.000 0.000
B 2.256 2.256 2.256
```

Total magnetization = 0.00 μB/f.u.
Space-group type = Pm-3m (221)
Calculated formation energy = 1.044 eV per atom
Polymorph energy (0 for the lowest one) = 619 meV per atom

---

Record 11
## Sm2Ho3In7 (GGA-PBE)

Data for an optimized crystal structure of Sm2Ho3In7.

Geometry as extended XYZ:
```
12
Lattice="2.582 -12.808 0.000 2.582 12.808 0.000 0.000 0.000 5.319" Properties=species:S:1:pos:R:3 pbc="T T T"
Sm 2.582 9.038 0.000
Sm 2.582 -9.038 0.000
Ho 2.582 3.834 2.660
Ho 2.582 0.000 2.660
Ho 2.582 -3.834 2.660
In 0.000 0.000 0.000
In 2.582 10.871 2.660
In 2.582 5.696 0.000
In 2.582 1.827 0.000
In 2.582 -1.827 0.000
In 2.582 -5.696 0.000
In 2.582 -10.871 2.660
```

Total magnetization = 0.00 μB/f.u.
Space-group type = Cmmm (65)
Calculated formation energy = -0.203 eV per atom

---

Record 12
## Ac3Tl2Cu (GGA-PBE)

Data for an optimized crystal structure of Ac3Tl2Cu.

Geometry as extended XYZ:
```
24
Lattice="13.238 0.000 0.000 0.000 4.782 0.000 0.000 0.000 12.930" Properties=species:S:1:pos:R:3 pbc="T T T"
Ac 0.698 1.195 1.666
Ac 1.618 3.586 7.132
Ac 3.020 1.195 10.289
Ac 3.599 3.586 3.824
Ac 5.001 1.195 0.667
Ac 5.921 3.586 8.131
Ac 7.317 1.195 4.798
Ac 8.237 3.586 12.263
Ac 9.639 1.195 9.105
Ac 10.218 3.586 2.640
Ac 11.620 1.195 5.798
Ac 12.540 3.586 11.263
Tl 0.157 3.586 4.040
Tl 2.512 3.586 12.861
Tl 4.107 1.195 6.396
Tl 6.463 1.195 10.505
Tl 6.776 3.586 2.425
Tl 9.131 3.586 6.533
Tl 10.726 1.195 0.069
Tl 13.082 1.195 8.890
Cu 1.639 1.195 4.804
Cu 4.980 3.586 11.269
Cu 8.258 1.195 1.660
Cu 11.599 3.586 8.125
```

Total magnetization = 0.00 μB/f.u.
Space-group type = Pnma (62)
Calculated formation energy = -0.262 eV per atom
Polymorph energy (0 for the lowest one) = 0 meV per atom

---

Record 13
## Ce5Y3Bi8 (GGA-PBE)

Data for an optimized crystal structure of Ce5Y3Bi8.

Geometry as extended XYZ:
```
16
Lattice="4.559 2.632 7.439 -4.559 2.632 7.439 0.000 -5.264 7.439" Properties=species:S:1:pos:R:3 pbc="T T T"
Ce 0.000 0.000 0.000
Ce -2.280 -1.316 7.439
Ce -2.280 1.316 14.878
Ce 0.000 2.632 7.439
Ce 0.000 0.000 11.159
Y -4.559 0.000 11.159
Y -2.280 1.316 3.720
Y 2.280 1.316 3.720
Bi -2.300 -1.328 12.987
Bi 0.000 0.000 5.535
Bi 0.000 -2.656 9.330
Bi -2.300 1.328 9.330
Bi 2.300 -1.328 12.987
Bi 0.000 2.656 12.987
Bi 0.000 0.000 16.783
Bi 2.300 1.328 9.330
```

Total magnetization = 4.37 μB/f.u.
Space-group type = R-3m (166)
Calculated formation energy = -0.830 eV per atom

---

Record 14
## PmHo2Co (GGA-PBE)

Data for an optimized crystal structure of PmHo2Co.

Geometry as extended XYZ:
```
4
Lattice="1.889 1.090 8.981 -1.889 1.090 8.981 0.000 -2.181 8.981" Properties=species:S:1:pos:R:3 pbc="T T T"
Pm 0.000 0.000 0.000
Ho 0.000 0.000 14.911
Ho 0.000 0.000 20.906
Co 0.000 0.000 4.437
```

Total magnetization = 0.00 μB/f.u.
Space-group type = R3m (160)
Calculated formation energy = -0.025 eV per atom
Polymorph energy (0 for the lowest one) = 121 meV per atom

---

Record 15
## CaTeS2Cl (GGA-PBE)

Data for an optimized crystal structure of CaTeS2Cl.

Geometry as extended XYZ:
```
5
Lattice="5.358 0.000 0.000 0.000 5.358 0.000 0.000 0.000 4.956" Properties=species:S:1:pos:R:3 pbc="T T T"
Ca 0.000 0.000 0.000
Te 2.679 2.679 2.478
S 0.000 2.679 0.000
S 2.679 0.000 0.000
Cl 0.000 0.000 2.478
```

Total magnetization = 0.00 μB/f.u.
Space-group type = P4/mmm (123)
Polymorph energy (0 for the lowest one) = 333 meV per atom
Formation energy from raw total energies = -0.185 eV per atom

---

Record 16
## AsI3O (GGA-PBE)

Data for an optimized crystal structure of AsI3O.

Geometry as extended XYZ:
```
5
Lattice="5.642 0.000 0.000 0.000 5.642 0.000 0.000 0.000 5.642" Properties=species:S:1:pos:R:3 pbc="T T T"
As 0.000 0.000 0.000
I 0.000 0.000 2.821
I 0.000 2.821 0.000
I 2.821 0.000 0.000
O 2.821 2.821 2.821
```

Total magnetization = 0.00 μB/f.u.
Space-group type = Pm-3m (221)
Formation energy from raw total energies = 0.842 eV per atom

---

Record 17
## La2SmCu2 (GGA-PBE)

Data for an optimized crystal structure of La2SmCu2.

Geometry as extended XYZ:
```
10
Lattice="3.948 0.000 0.000 0.000 4.831 0.000 -1.914 0.000 14.016" Properties=species:S:1:pos:R:3 pbc="T T T"
La 0.008 1.208 1.501
La 0.024 3.623 7.510
La 2.010 1.208 6.506
La 2.026 3.623 12.515
Sm 0.037 1.208 10.185
Sm 1.996 3.623 3.831
Cu 0.042 1.208 4.405
Cu 0.055 1.208 13.255
Cu 1.979 3.623 0.762
Cu 1.992 3.623 9.611
```

Total magnetization = 0.00 μB/f.u.
Space-group type = P2_1/m (11)
Calculated formation energy = -0.070 eV per atom

---

Record 18
## RbCrHg2Rh (GGA-PBE)

Data for an optimized crystal structure of RbCrHg2Rh.

Geometry as extended XYZ:
```
5
Lattice="5.441 0.000 0.000 0.000 5.441 0.000 0.000 0.000 4.607" Properties=species:S:1:pos:R:3 pbc="T T T"
Rb 0.000 0.000 0.000
Cr 2.720 2.720 2.303
Hg 0.000 2.720 2.303
Hg 2.720 0.000 2.303
Rh 2.720 2.720 0.000
```

Total magnetization = 3.17 μB/f.u.
Space-group type = P4/mmm (123)
Calculated formation energy = 0.432 eV per atom

---

Record 19
## ZrTeRhN2 (GGA-PBE)

Data for an optimized crystal structure of ZrTeRhN2.

Geometry as extended XYZ:
```
5
Lattice="4.033 0.000 0.000 0.000 4.033 0.000 0.000 0.000 5.185" Properties=species:S:1:pos:R:3 pbc="T T T"
Zr 0.000 0.000 0.000
Te 2.017 2.017 0.000
Rh 2.017 2.017 2.593
N 0.000 2.017 2.593
N 2.017 0.000 2.593
```

Total magnetization = 0.64 μB/f.u.
Space-group type = P4/mmm (123)
Polymorph energy (0 for the lowest one) = 193 meV per atom
Formation energy from raw total energies = 0.915 eV per atom

---

Record 20
## CdSiO2F (GGA-PBE)

Data for an optimized crystal structure of CdSiO2F.

Geometry as extended XYZ:
```
5
Lattice="3.434 0.000 0.000 0.000 3.434 0.000 0.000 0.000 5.171" Properties=species:S:1:pos:R:3 pbc="T T T"
Cd 0.000 0.000 0.000
Si 1.717 1.717 2.585
O 0.000 1.717 2.585
O 1.717 0.000 2.585
F 1.717 1.717 0.000
```

Total magnetization = 0.00 μB/f.u.
Space-group type = P4/mmm (123)
Formation energy from raw total energies = -1.535 eV per atom

---

Record 21
## BPb2F6 (GGA-PBE)

Data for an optimized crystal structure of BPb2F6.

Geometry as extended XYZ:
```
18
Lattice="6.426 0.000 0.000 0.000 6.432 0.000 -6.394 0.000 6.814" Properties=species:S:1:pos:R:3 pbc="T T T"
B 0.000 0.000 0.000
B -3.197 3.216 3.407
Pb -3.183 6.430 5.111
Pb 0.014 3.217 1.704
Pb 3.215 0.001 1.703
Pb 0.019 3.215 5.111
F -0.867 0.871 1.221
F -4.063 2.345 4.628
F -5.334 1.058 6.812
F -2.137 2.158 3.405
F -2.325 4.086 4.648
F 0.872 5.561 1.241
F -0.839 0.871 5.574
F 2.358 2.345 2.166
F 2.170 4.274 3.409
F 5.367 5.374 0.002
F 4.096 4.087 2.186
F 0.899 5.561 5.594
```

Total magnetization = 0.44 μB/f.u.
Space-group type = P2_1/c (14)
Formation energy from raw total energies = -2.079 eV per atom

---

Record 22
## Zn2Au2Br (GGA-PBE)

Data for an optimized crystal structure of Zn2Au2Br.

Geometry as extended XYZ:
```
5
Lattice="-2.026 2.026 6.253 2.026 -2.026 6.253 2.026 2.026 -6.253" Properties=species:S:1:pos:R:3 pbc="T T T"
Zn 2.026 0.000 3.126
Zn 0.000 2.026 3.126
Au 0.000 0.000 1.462
Au 0.000 0.000 11.043
Br 0.000 0.000 6.253
```

Total magnetization = 0.00 μB/f.u.
Space-group type = I4/mmm (139)
Polymorph energy (0 for the lowest one) = 0 meV per atom
Formation energy from raw total energies = -0.062 eV per atom

---

Record 23
## RePBr2 (GGA-PBE)

Data for an optimized crystal structure of RePBr2.

Geometry as extended XYZ:
```
4
Lattice="1.621 -2.831 0.000 1.621 2.831 0.000 0.000 0.000 9.784" Properties=species:S:1:pos:R:3 pbc="T T T"
Re 0.000 0.000 0.000
P 1.621 0.000 8.198
Br 0.000 0.000 5.712
Br 1.621 0.000 2.105
```

Total magnetization = 0.00 μB/f.u.
Space-group type = Cmm2 (35)
Polymorph energy (0 for the lowest one) = 525 meV per atom
Formation energy from raw total energies = 0.524 eV per atom

---

Record 24
## Cu3SbP4O16 (GGA-PBE)

Data for an optimized crystal structure of Cu3SbP4O16.

Geometry as extended XYZ:
```
24
Lattice="4.901 0.000 0.000 0.000 5.979 0.000 -0.248 0.000 9.864" Properties=species:S:1:pos:R:3 pbc="T T T"
Cu 0.000 0.000 0.000
Cu 0.907 2.989 4.193
Cu 3.282 0.000 4.754
Sb 2.537 2.989 9.005
P 0.001 2.989 1.071
P 0.983 0.000 2.992
P 2.395 0.000 7.775
P 3.463 2.989 5.910
O 1.192 0.000 1.452
O 1.504 2.989 0.679
O 1.735 1.208 3.648
O 1.735 4.771 3.648
O 1.652 1.250 8.485
O 1.652 4.729 8.485
O 1.940 2.989 5.837
O 2.104 0.000 6.297
O 3.797 2.989 7.499
O 3.874 0.000 8.125
O 4.103 1.829 0.309
O 4.103 4.150 0.309
O 4.185 1.770 5.288
O 4.185 4.209 5.288
O 4.356 0.000 3.180
O 4.716 2.989 2.546
```

Total magnetization = 2.87 μB/f.u.
Space-group type = Pm (6)
Formation energy from raw total energies = -1.523 eV per atom